No. 1
{"formula": "AgPtSe4", "functional": "PBE", "state": "relaxed", "lattice": [[0.000, 3.977, 3.977], [3.977, 0.000, 3.977], [3.977, 3.977, 0.000]], "species": ["Ag", "Pt", "Se", "Se", "Se", "Se"], "fractional_positions": [[0.000, 0.000, 0.000], [0.750, 0.750, 0.750], [0.376, 0.376, 0.376], [0.376, 0.376, 0.871], [0.376, 0.871, 0.376], [0.871, 0.376, 0.376]], "n_ef_per_ev_cell": 6.904, "magmom_total_mub_per_fu": 0.000, "mass_density_g_cm3": 8.17}



No. 2
{"formula": "Ag2PtSe", "functional": "PBE", "state": "relaxed", "lattice": [[4.019, 0.000, 0.000], [0.000, 4.074, 0.000], [0.000, 0.000, 8.972]], "species": ["Ag", "Ag", "Ag", "Ag", "Pt", "Pt", "Se", "Se"], "fractional_positions": [[0.000, 0.000, 0.230], [0.000, 0.000, 0.770], [0.500, 0.500, 0.230], [0.500, 0.500, 0.770], [0.000, 0.500, 0.000], [0.500, 0.000, 0.000], [0.000, 0.500, 0.500], [0.500, 0.000, 0.500]], "n_ef_per_ev_cell": 3.605, "magmom_total_mub_per_fu": 0.000, "mass_density_g_cm3": 11.07}



Number 1: electronic total energy -3.002 eV per atom. Number 2: electronic total energy -3.673 eV per atom.